{
  "formula": "Cs2PCl",
  "functional": "PBE-GGA",
  "state": "relaxed",
  "cell": [[9.234, 0.000, 0.000], [0.000, 9.234, 0.000], [4.617, 4.617, 5.052]],
  "species": ["Cs", "Cs", "Cs", "Cs", "Cl", "Cl", "P", "P"],
  "frac_coords": [[0.875, 0.898, 0.750], [0.375, 0.352, 0.750], [0.648, 0.125, 0.250], [0.102, 0.625, 0.250], [0.750, 0.250, 0.500], [0.000, 0.000, 0.000], [0.500, 0.500, 0.000], [0.250, 0.750, 0.500]],
  "n_ef_per_ev_fu": 3.2,
  "relative_energy_mev_per_atom": 7,
  "final_energy_ev_per_atom": -2.822,
  "e_form_raw_ev_per_atom": -0.581
}


{
  "formula": "V5Tc6Ge",
  "functional": "PBE-GGA",
  "state": "relaxed",
  "cell": [[4.118, 0.018, -1.201], [-0.832, 5.326, -2.774], [-0.075, 0.392, 7.402]],
  "species": ["Tc", "Tc", "Tc", "Tc", "Tc", "Tc", "V", "V", "V", "V", "V", "Ge"],
  "frac_coords": [[0.831, 0.084, 0.662], [0.169, 0.421, 0.338], [0.169, 0.916, 0.338], [0.831, 0.579, 0.662], [0.500, 0.256, 0.000], [0.500, 0.744, 0.000], [0.336, 0.836, 0.671], [0.664, 0.164, 0.329], [0.668, 0.668, 0.335], [0.332, 0.332, 0.665], [0.000, 0.500, 0.000], [0.000, 0.000, 0.000]],
  "n_ef_per_ev_fu": 9.2,
  "final_energy_ev_per_atom": -9.710
}


{
  "formula": "Be2ZnRu",
  "functional": "PBE-GGA",
  "state": "relaxed",
  "cell": [[6.118, 0.000, 0.000], [0.000, 6.118, 0.000], [3.059, 3.059, 2.501]],
  "species": ["Zn", "Zn", "Be", "Be", "Be", "Be", "Ru", "Ru"],
  "frac_coords": [[0.500, 0.500, 0.000], [0.250, 0.750, 0.500], [0.875, 0.873, 0.750], [0.623, 0.125, 0.250], [0.127, 0.625, 0.250], [0.375, 0.377, 0.750], [0.750, 0.250, 0.500], [0.000, 0.000, 0.000]],
  "n_ef_per_ev_fu": 0.3,
  "final_energy_ev_per_atom": -4.328
}


{
  "formula": "Li2NbC2",
  "functional": "PBE-GGA",
  "state": "relaxed",
  "cell": [[3.612, 0.000, 0.000], [0.000, 3.612, 0.000], [1.806, 1.806, 3.515]],
  "species": ["Nb", "Li", "Li", "C", "C"],
  "frac_coords": [[0.000, 0.000, 0.000], [0.643, 0.643, 0.713], [0.357, 0.357, 0.287], [0.750, 0.250, 0.500], [0.250, 0.750, 0.500]],
  "n_ef_per_ev_fu": 2.1,
  "relative_energy_mev_per_atom": 0,
  "final_energy_ev_per_atom": -5.608
}


{
  "formula": "SrGaCo2Pt",
  "functional": "PBE-GGA",
  "state": "relaxed",
  "cell": [[4.393, 0.000, 0.000], [0.000, 5.628, 0.000], [0.000, 0.000, 4.393]],
  "species": ["Co", "Co", "Ga", "Sr", "Pt"],
  "frac_coords": [[0.000, 0.000, 0.500], [0.500, 0.000, 0.000], [0.000, 0.000, 0.000], [0.000, 0.500, 0.000], [0.500, 0.500, 0.500]],
  "n_ef_per_ev_fu": 4.1,
  "final_energy_ev_per_atom": -4.254
}


{
  "formula": "Pm3DyAg6",
  "functional": "PBE-GGA",
  "state": "relaxed",
  "cell": [[-3.602, -6.449, 1.490], [3.925, -6.327, 1.162], [0.350, -3.003, 6.902]],
  "species": ["Ag", "Ag", "Ag", "Ag", "Ag", "Ag", "Pm", "Pm", "Pm", "Dy"],
  "frac_coords": [[0.753, 0.247, 0.753], [0.247, 0.247, 0.753], [0.753, 0.753, 0.247], [0.247, 0.753, 0.753], [0.247, 0.753, 0.247], [0.753, 0.247, 0.247], [0.250, 0.250, 0.250], [0.750, 0.750, 0.750], [0.500, 0.500, 0.500], [0.000, 0.000, 0.000]],
  "n_ef_per_ev_fu": 8.3,
  "final_energy_ev_per_atom": -3.096
}